# PrTh2Mg PBE optimized geometry
# Magnetic moment, μB per formula unit: 0.0
# E_form, eV per atom: 0.191
# Theoretical density, Mg/m³: 8.4
# Volume, Å³/cell: 498.6
data_PrTh2Mg
_cell_length_a 7.9293
_cell_length_b 7.9293
_cell_length_c 7.9293
_cell_angle_alpha 90.00
_cell_angle_beta 90.00
_cell_angle_gamma 90.00
_symmetry_space_group_name_H-M 'F m -3 m'
_symmetry_Int_Tables_number 225
_symmetry_space_group_name_Hall '-F 4 2 3'
loop_
_atom_site_label
_atom_site_type_symbol
_atom_site_fract_x
_atom_site_fract_y
_atom_site_fract_z
Pr1 Pr 0.0000 0.0000 0.0000
Th1 Th 0.2500 0.2500 0.2500
Mg1 Mg 0.0000 0.0000 0.5000


# Pr2Th2Mg PBE optimized geometry
# Magnetic moment, μB per formula unit: 0.0
# E_form, eV per atom: -0.031
# Theoretical density, Mg/m³: 8.0
# Volume, Å³/cell: 320.1
data_Pr2Th2Mg
_cell_length_a 3.6341
_cell_length_b 3.6341
_cell_length_c 24.2399
_cell_angle_alpha 90.00
_cell_angle_beta 90.00
_cell_angle_gamma 90.00
_symmetry_space_group_name_H-M 'I 4/m m m'
_symmetry_Int_Tables_number 139
_symmetry_space_group_name_Hall '-I 4 2'
loop_
_atom_site_label
_atom_site_type_symbol
_atom_site_fract_x
_atom_site_fract_y
_atom_site_fract_z
Pr1 Pr 0.0000 0.0000 0.0956
Th1 Th 0.0000 0.0000 0.2997
Mg1 Mg 0.0000 0.0000 0.5000


# PrTh2Mg PBE optimized geometry
# Magnetic moment, μB per formula unit: 0.0
# E_form, eV per atom: 0.068
# Theoretical density, Mg/m³: 8.4
# Volume, Å³/cell: 124.7
data_PrTh2Mg
_cell_length_a 4.9403
_cell_length_b 4.9403
_cell_length_c 5.1097
_cell_angle_alpha 90.00
_cell_angle_beta 90.00
_cell_angle_gamma 90.00
_symmetry_space_group_name_H-M 'P 4/m m m'
_symmetry_Int_Tables_number 123
_symmetry_space_group_name_Hall '-P 4 2'
loop_
_atom_site_label
_atom_site_type_symbol
_atom_site_fract_x
_atom_site_fract_y
_atom_site_fract_z
Pr1 Pr 0.0000 0.0000 0.0000
Th1 Th 0.0000 0.5000 0.5000
Mg1 Mg 0.5000 0.5000 0.0000